1.
Here is a relaxed CaY2 crystal from Alexandria via LeMat-Bulk. Energies are from PBEsol.

a b c (Å): 9.8237 9.8237 5.7289
angles (deg): 90.00 90.00 158.73
With the nearest neighbours (Å) after each atom.
Element x y z (fractional)
Ca 0.0575 0.9425 0.7500  8 Y 3.60-3.89, 4 Ca 3.62-3.63
Ca 0.9425 0.0575 0.2500  8 Y 3.60-3.89, 4 Ca 3.62-3.63
Y 0.2744 0.7256 0.2500  10 Y 3.48-3.63, 2 Ca 3.72
Y 0.3795 0.6205 0.7500  6 Y 3.48-3.63, 6 Ca 3.60-3.89
Y 0.6205 0.3795 0.2500  6 Y 3.48-3.63, 6 Ca 3.60-3.89
Y 0.7256 0.2744 0.7500  10 Y 3.48-3.63, 2 Ca 3.72

## Properties
D(E_F)	11.05	states/eV/cell
SG	Cmcm (63)
E_form	0.09	eV per atom



2.
Here is a relaxed AlInBi2H crystal from Alexandria via LeMat-Bulk. Energies are from PBEsol.

a b c (Å): 5.3597 5.3597 5.3157
angles (deg): 90.00 90.00 90.00
With the nearest neighbours (Å) after each atom.
Element x y z (fractional)
Al 0.0000 0.0000 0.0000  2 In 2.66, 4 Bi 2.68
In 0.0000 0.0000 0.5000  2 Al 2.66
Bi 0.0000 0.5000 0.0000  2 Al 2.68
Bi 0.5000 0.0000 0.0000  2 Al 2.68
H 0.5000 0.5000 0.5000  8 Bi 3.77, 4 In 3.79

## Properties
D(E_F)	3.17	states/eV/cell
SG	P4/mmm (123)



3.
Here is a relaxed MgMoW crystal from Alexandria via LeMat-Bulk. Energies are from PBEsol.

a b c (Å): 4.3263 4.3263 4.3263
angles (deg): 60.00 60.00 60.00
With the nearest neighbours (Å) after each atom.
Element x y z (fractional)
Mg 0.0000 0.0000 0.0000  4 Mo 2.65
Mo 0.2500 0.2500 0.2500  4 W 2.65, 4 Mg 2.65
W 0.5000 0.5000 0.5000  4 Mo 2.65

## Properties
D(E_F)	1.16	states/eV/cell
SG	F-43m (216)
E_form	1.17	eV per atom



4.
Here is a relaxed CdTc2Pt crystal from Alexandria via LeMat-Bulk. Energies are from PBEsol.

a b c (Å): 2.7507 3.8907 5.7319
angles (deg): 90.00 90.00 90.00
With the nearest neighbours (Å) after each atom.
Element x y z (fractional)
Cd 0.0000 0.0000 0.0000  2 Cd 2.75, 6 Tc 2.78-2.96, 4 Pt 2.79
Tc 0.0000 0.0000 0.5156  6 Tc 2.64-2.75, 1 Cd 2.78, 4 Pt 2.82
Tc 0.5000 0.5000 0.7134  1 Pt 2.64, 6 Tc 2.64-2.75, 4 Cd 2.89
Pt 0.5000 0.5000 0.2537  5 Tc 2.64-2.82, 2 Pt 2.75, 4 Cd 2.79

## Properties
D(E_F)	3.59	states/eV/cell
SG	Pmm2 (25)
E_form	0.10	eV per atom



5.
Here is a relaxed ZrTlZn2 crystal from Alexandria via LeMat-Bulk. Energies are from PBEsol.

a b c (Å): 3.1724 3.1724 7.3010
angles (deg): 90.00 90.00 90.28
With the nearest neighbours (Å) after each atom.
Element x y z (fractional)
Zr 0.0000 0.0000 0.0000  5 Zn 2.85-3.09, 4 Tl 3.16-3.17, 4 Zr 3.17
Tl 0.5000 0.5000 0.6935  5 Zn 2.98-3.29, 4 Zr 3.16-3.17, 4 Tl 3.17
Zn 0.0000 0.0000 0.4231  4 Zn 2.60-2.61
Zn 0.5000 0.5000 0.2424  4 Zn 2.60-2.61, 4 Zr 2.85-2.86

## Properties
D(E_F)	1.99	states/eV/cell
SG	Cmm2 (35)
E_form	-0.05	eV per atom



6.
Here is a relaxed CrHNF2 crystal from Alexandria via LeMat-Bulk. Energies are from PBEsol.

a b c (Å): 4.0532 4.0532 2.6635
angles (deg): 90.00 90.00 90.00
With the nearest neighbours (Å) after each atom.
Element x y z (fractional)
Cr 0.0000 0.0000 0.0000  8 F 2.43, 2 Cr 2.66
H 0.5000 0.5000 0.5000  2 N 1.33
N 0.5000 0.5000 0.0000  2 H 1.33
F 0.0000 0.5000 0.5000  2 H 2.03
F 0.5000 0.0000 0.5000  2 H 2.03

## Properties
D(E_F)	4.08	states/eV/cell
SG	P4/mmm (123)



7.
Here is a relaxed CsDyS2 crystal from Alexandria via LeMat-Bulk. Energies are from PBEsol.

a b c (Å): 8.2705 8.2705 8.2705
angles (deg): 28.19 28.19 28.19
With the nearest neighbours (Å) after each atom.
Element x y z (fractional)
Cs 0.0000 0.0000 0.0000  6 S 3.42
Dy 0.5000 0.5000 0.5000  6 S 2.74
S 0.2278 0.2278 0.2278  3 Dy 2.74
S 0.7722 0.7722 0.7722  3 Dy 2.74

## Properties
raw formation energy	-7.5	eV/f.u.
D(E_F)	0.00	states/eV/cell
SG	R-3m (166)



8.
Here is a relaxed BaCdTcSn2 crystal from Alexandria via LeMat-Bulk. Energies are from PBEsol.

a b c (Å): 5.9716 5.9716 5.8255
angles (deg): 90.00 90.00 90.00
With the nearest neighbours (Å) after each atom.
Element x y z (fractional)
Ba 0.0000 0.0000 0.0000  2 Cd 2.91, 4 Sn 2.99
Cd 0.0000 0.0000 0.5000  2 Ba 2.91
Tc 0.5000 0.5000 0.5000  8 Sn 4.17, 4 Cd 4.22
Sn 0.0000 0.5000 0.0000  2 Ba 2.99
Sn 0.5000 0.0000 0.0000  2 Ba 2.99

## Properties
D(E_F)	4.48	states/eV/cell
SG	P4/mmm (123)
E_form	1.97	eV per atom



9.
Here is a relaxed In2SiBr crystal from Alexandria via LeMat-Bulk. Energies are from PBEsol.

a b c (Å): 7.2535 7.2535 7.2535
angles (deg): 33.03 33.03 33.03
With the nearest neighbours (Å) after each atom.
Element x y z (fractional)
In 0.2307 0.2307 0.2307  3 Si 2.72
In 0.7693 0.7693 0.7693  3 Si 2.72
Si 0.5000 0.5000 0.5000  6 In 2.72
Br 0.0000 0.0000 0.0000  6 In 3.18

## Properties
raw formation energy	-0.2	eV/f.u.
D(E_F)	1.42	states/eV/cell
SG	R-3m (166)



10.
Here is a relaxed Sr3Sn3Au8 crystal from Alexandria via LeMat-Bulk. Energies are from PBEsol.

a b c (Å): 9.5844 14.0973 4.6465
angles (deg): 90.00 90.00 90.00
With the nearest neighbours (Å) after each atom.
Element x y z (fractional)
Sr 0.0000 0.0000 0.0000  8 Au 3.24-3.47
Sr 0.0053 0.3054 0.0000  9 Au 3.22-3.58, 5 Sn 3.29-3.60
Sr 0.4947 0.8054 0.5000  9 Au 3.22-3.58, 5 Sn 3.29-3.60
Sr 0.5000 0.5000 0.5000  8 Au 3.24-3.47
Sr 0.5053 0.1946 0.5000  9 Au 3.22-3.58, 5 Sn 3.29-3.60
Sr 0.9947 0.6946 0.0000  9 Au 3.22-3.58, 5 Sn 3.29-3.60
Sn 0.0000 0.5000 0.5000  8 Au 2.77-3.02
Sn 0.1548 0.1745 0.5000  5 Au 2.68-2.84
Sn 0.3452 0.6745 0.0000  5 Au 2.68-2.84
Sn 0.5000 0.0000 0.0000  8 Au 2.77-3.02
Sn 0.6548 0.3255 0.0000  5 Au 2.68-2.84
Sn 0.8452 0.8255 0.5000  5 Au 2.68-2.84
Au 0.1246 0.8384 0.5000  1 Sn 2.68, 3 Au 2.79-2.81
Au 0.2010 0.4984 0.0000  5 Au 2.81-2.97, 3 Sn 2.84-3.02
Au 0.2194 0.6279 0.5000  3 Sn 2.70-2.77, 2 Au 2.96
Au 0.2197 0.3673 0.5000  2 Sn 2.79-2.82, 4 Au 2.79-2.97
Au 0.2803 0.8673 0.0000  2 Sn 2.79-2.82, 4 Au 2.79-2.97
Au 0.2806 0.1279 0.0000  3 Sn 2.70-2.77, 2 Au 2.96
Au 0.2990 0.9984 0.5000  5 Au 2.81-2.97, 3 Sn 2.84-3.02
Au 0.3754 0.3384 0.0000  1 Sn 2.68, 3 Au 2.79-2.81
Au 0.6246 0.6616 0.0000  1 Sn 2.68, 3 Au 2.79-2.81
Au 0.7010 0.0016 0.5000  5 Au 2.81-2.97, 3 Sn 2.84-3.02
Au 0.7194 0.8721 0.0000  3 Sn 2.70-2.77, 2 Au 2.96
Au 0.7197 0.1327 0.0000  2 Sn 2.79-2.82, 4 Au 2.79-2.97
Au 0.7803 0.6327 0.5000  2 Sn 2.79-2.82, 4 Au 2.79-2.97
Au 0.7806 0.3721 0.5000  3 Sn 2.70-2.77, 2 Au 2.96
Au 0.7990 0.5016 0.0000  5 Au 2.81-2.97, 3 Sn 2.84-3.02
Au 0.8754 0.1616 0.5000  1 Sn 2.68, 3 Au 2.79-2.81

## Properties
D(E_F)	9.78	states/eV/cell
SG	Pnnm (58)
E_form	-0.56	eV per atom



11.
Here is a relaxed Ta2CrPb crystal from Alexandria via LeMat-Bulk. Energies are from PBEsol.

a b c (Å): 4.7318 4.7318 3.2360
angles (deg): 90.00 90.00 106.69
With the nearest neighbours (Å) after each atom.
Element x y z (fractional)
Ta 0.0000 0.5000 0.0000  2 Ta 2.82, 4 Pb 2.87, 4 Cr 2.87
Ta 0.5000 0.0000 0.0000  2 Ta 2.82, 4 Pb 2.87, 4 Cr 2.87
Cr 0.0000 0.0000 0.5000  2 Pb 2.82, 8 Ta 2.87
Pb 0.5000 0.5000 0.5000  2 Cr 2.82, 8 Ta 2.87

## Properties
D(E_F)	2.93	states/eV/cell
SG	Cmmm (65)
E_form	0.55	eV per atom



12.
Here is a relaxed Zr2ZnAs crystal from Alexandria via LeMat-Bulk. Energies are from PBEsol.

a b c (Å): 3.8107 3.8107 5.3778
angles (deg): 90.00 90.00 90.00
With the nearest neighbours (Å) after each atom.
Element x y z (fractional)
Zr 0.0000 0.0000 0.0000  2 Zn 2.69, 4 As 2.69
Zr 0.5000 0.5000 0.5000  2 As 2.69, 4 Zn 2.69
Zn 0.0000 0.0000 0.5000  6 Zr 2.69
As 0.5000 0.5000 0.0000  6 Zr 2.69

## Properties
D(E_F)	2.34	states/eV/cell
SG	P4/mmm (123)
E_form	-0.61	eV per atom



no.,final energy (eV/cell)
1,-31.0
2,-14.5
3,-23.8
4,-30.3
5,-15.1
6,-25.5
7,-22.2
8,-13.3
9,-13.8
10,-115.1
11,-37.2
12,-27.3